Version a
# BICl2 | Alexandria via LeMat-Bulk | PBE | optimized geometry
# Total magnetic moment (μB/atom): 0.489
data_BICl2
_symmetry_space_group_name_H-M 'P 1'
_symmetry_Int_Tables_number 1
_symmetry_space_group_name_Hall 'P 1'
_cell_length_a 5.1765
_cell_length_b 5.1765
_cell_length_c 5.1765
_cell_angle_alpha 60.00
_cell_angle_beta 60.00
_cell_angle_gamma 60.00
loop_
_atom_site_label
_atom_site_fract_x
_atom_site_fract_y
_atom_site_fract_z
I1 0.5000 0.5000 0.5000
B1 0.0000 0.0000 0.0000
Cl1 0.2500 0.2500 0.2500
Cl2 0.7500 0.7500 0.7500

Version b
# BICl2 | Alexandria via LeMat-Bulk | PBE | optimized geometry
# Total magnetic moment (μB/atom): 0.000
data_BICl2
_symmetry_space_group_name_H-M 'P 1'
_symmetry_Int_Tables_number 1
_symmetry_space_group_name_Hall 'P 1'
_cell_length_a 6.5422
_cell_length_b 6.5506
_cell_length_c 6.5506
_cell_angle_alpha 64.47
_cell_angle_beta 60.04
_cell_angle_gamma 60.04
loop_
_atom_site_label
_atom_site_fract_x
_atom_site_fract_y
_atom_site_fract_z
B1 0.0000 0.6359 0.3641
I1 0.0000 0.9414 0.0586
Cl1 0.1687 0.3427 0.3199
Cl2 0.8313 0.6801 0.6573

Stability, lowest: version a

Version a
# BICl2 | Alexandria via LeMat-Bulk | PBE | optimized geometry
# Total magnetic moment (μB/atom): 0.003
data_BICl2
_symmetry_space_group_name_H-M 'P 1'
_symmetry_Int_Tables_number 1
_symmetry_space_group_name_Hall 'P 1'
_cell_length_a 11.5002
_cell_length_b 11.5002
_cell_length_c 11.5002
_cell_angle_alpha 16.37
_cell_angle_beta 16.37
_cell_angle_gamma 16.37
loop_
_atom_site_label
_atom_site_fract_x
_atom_site_fract_y
_atom_site_fract_z
I1 0.0000 0.0000 0.0000
B1 0.5000 0.5000 0.5000
Cl1 0.8707 0.8707 0.8707
Cl2 0.1293 0.1293 0.1293

Version b
# BICl2 | Alexandria via LeMat-Bulk | PBE | optimized geometry
# Total magnetic moment (μB/atom): 0.000
data_BICl2
_symmetry_space_group_name_H-M 'P 1'
_symmetry_Int_Tables_number 1
_symmetry_space_group_name_Hall 'P 1'
_cell_length_a 7.3593
_cell_length_b 7.3593
_cell_length_c 7.3593
_cell_angle_alpha 45.52
_cell_angle_beta 45.52
_cell_angle_gamma 45.52
loop_
_atom_site_label
_atom_site_fract_x
_atom_site_fract_y
_atom_site_fract_z
I1 0.5000 0.5000 0.5000
B1 0.0000 0.0000 0.0000
Cl1 0.9184 0.9184 0.9184
Cl2 0.0816 0.0816 0.0816

Stability, lowest: version a

Version a
# BI2Cl | Alexandria via LeMat-Bulk | PBE | optimized geometry
# Total magnetic moment (μB/atom): 0.000
data_BI2Cl
_symmetry_space_group_name_H-M 'P 1'
_symmetry_Int_Tables_number 1
_symmetry_space_group_name_Hall 'P 1'
_cell_length_a 5.2012
_cell_length_b 5.2012
_cell_length_c 5.2012
_cell_angle_alpha 60.00
_cell_angle_beta 60.00
_cell_angle_gamma 60.00
loop_
_atom_site_label
_atom_site_fract_x
_atom_site_fract_y
_atom_site_fract_z
I1 0.2500 0.2500 0.2500
I2 0.7500 0.7500 0.7500
B1 0.0000 0.0000 0.0000
Cl1 0.5000 0.5000 0.5000

Version b
# BI2Cl | Alexandria via LeMat-Bulk | PBE | optimized geometry
# Total magnetic moment (μB/atom): 0.000
data_BI2Cl
_symmetry_space_group_name_H-M 'P 1'
_symmetry_Int_Tables_number 1
_symmetry_space_group_name_Hall 'P 1'
_cell_length_a 7.1356
_cell_length_b 7.1356
_cell_length_c 6.5862
_cell_angle_alpha 57.20
_cell_angle_beta 57.20
_cell_angle_gamma 90.00
loop_
_atom_site_label
_atom_site_fract_x
_atom_site_fract_y
_atom_site_fract_z
I1 0.5228 0.1250 0.2500
I2 0.2272 0.6250 0.2500
I3 0.3750 0.4772 0.7500
I4 0.8750 0.7728 0.7500
B1 0.5000 0.5000 0.0000
B2 0.2500 0.7500 0.5000
Cl1 0.0000 0.0000 0.0000
Cl2 0.7500 0.2500 0.5000

Version c
# BI2Cl | Alexandria via LeMat-Bulk | PBE | optimized geometry
# Total magnetic moment (μB/atom): 0.000
data_BI2Cl
_symmetry_space_group_name_H-M 'P 1'
_symmetry_Int_Tables_number 1
_symmetry_space_group_name_Hall 'P 1'
_cell_length_a 5.1921
_cell_length_b 7.5921
_cell_length_c 17.8316
_cell_angle_alpha 90.02
_cell_angle_beta 90.00
_cell_angle_gamma 90.03
loop_
_atom_site_label
_atom_site_fract_x
_atom_site_fract_y
_atom_site_fract_z
B1 0.0006 0.2502 0.3149
B2 0.9994 0.7498 0.6851
B3 0.5006 0.2498 0.1850
B4 0.4994 0.7502 0.8150
I1 0.3321 0.0329 0.1212
I2 0.6679 0.9671 0.8788
I3 0.8323 0.4671 0.3787
I4 0.1677 0.5329 0.6213
I5 0.3309 0.5337 0.8789
I6 0.6691 0.4663 0.1211
I7 0.8313 0.9663 0.6211
I8 0.1687 0.0337 0.3789
Cl1 0.7493 0.6276 0.7501
Cl2 0.2507 0.3724 0.2499
Cl3 0.2495 0.8724 0.7500
Cl4 0.7505 0.1276 0.2500

Stability, lowest: version a